No. 1
Computed, not measured: crystalline NdTi2NiN4 at its relaxed geometry at the PBE-GGA level of DFT.

a b c (Å): 3.1643 10.6272 10.6328
angles (deg): 90.00 90.00 90.00
Space group Cmcm (No. 63)
Asymmetric unit:
Nd (0.0000, 0.1067, 0.2500) x4
Ti (0.0000, 0.3671, 0.0493) x8
Ni (0.0000, 0.1576, 0.7500) x4
N (0.0000, 0.0000, 0.0000) x4
N (0.0000, 0.2669, 0.6068) x8
N (0.0000, 0.4366, 0.2500) x4

Output
Energy relative to the elements, uncorrected (meV/atom): -1113

***

No. 2
Computed, not measured: crystalline In2AgSb at its relaxed geometry at the PBE-GGA level of DFT.

a b c (Å): 4.7120 4.7215 8.8533
angles (deg): 90.00 90.00 90.00
Space group Cmmm (No. 65)
Asymmetric unit:
In (0.0000, 0.0000, 0.2193) x4
Ag (0.0000, 0.5000, 0.0000) x2
Sb (0.0000, 0.5000, 0.5000) x2

Output
Energy relative to the elements, uncorrected (meV/atom): 62

***

| no. | DOS(E_F) (states/eV/atom) | E (eV per atom) |
| --- | --- | --- |
| 1 | 0.37 | -8.568 |
| 2 | 0.48 | -3.051 |